Entry 1:
Density functional theory data (GGA-PBE) for a relaxed structure of Ti4GaN.

abc: 3.0923 19.3616 5.6810
angles: 90.00 90.00 90.00
Closest atoms and distances in Å follow each position.
Space group Cmcm (No. 63)
Asymmetric unit:
Ti1 0.0000 0.0000 0.0000 (multiplicity 4)  8 Ti 2.81-3.09, 4 Ga 2.82
Ti2 0.0000 0.1924 0.0065 (multiplicity 8)  3 N 2.11-2.34
Ti3 0.0000 0.4036 0.7500 (multiplicity 4)  1 N 2.26
Ga1 0.0000 0.4025 0.2500 (multiplicity 4)  10 Ti 2.81-2.84, 2 Ga 3.09
N1 0.0000 0.2871 0.7500 (multiplicity 4)  7 Ti 2.11-2.34

As for the density of states at the Fermi level: 23.54 states/eV/cell. Its energy above the most stable polymorph in this dataset is 0 meV per atom.

Entry 2:
Density functional theory data (GGA-PBE) for a relaxed structure of TiGaN2.

abc: 3.0894 3.0894 17.6470
angles: 90.00 90.00 120.00
Closest atoms and distances in Å follow each position.
Space group R-3m (No. 166, hexagonal axes)
Asymmetric unit:
Ti1 0.0000 0.0000 0.0000 (multiplicity 3)  6 N 2.08
Ga1 0.0000 0.0000 0.5000 (multiplicity 3)  2 N 1.87
N1 0.0000 0.0000 0.3941 (multiplicity 6)  1 Ga 1.87, 3 Ti 2.08

As for the density of states at the Fermi level: 7.10 states/eV/cell. Its energy above the most stable polymorph in this dataset is 0 meV per atom.

Entry 3:
Density functional theory data (GGA-PBE) for a relaxed structure of Ti3Ga3N.

abc: 11.6067 11.6067 11.6067
angles: 90.00 90.00 90.00
Closest atoms and distances in Å follow each position.
Space group Fd-3m (No. 227, origin choice 2)
Asymmetric unit:
Ti1 0.0562 0.3750 0.3750 (multiplicity 48)  2 N 2.15
Ga1 0.0000 0.0000 0.5000 (multiplicity 16)  6 Ga 2.57
Ga2 0.0342 0.0342 0.7158 (multiplicity 32)  3 Ga 2.57, 3 Ti 2.63
N1 0.0000 0.0000 0.0000 (multiplicity 16)  6 Ti 2.15

Its calculated total energy is -6.6208 eV/atom. As for the density of states at the Fermi level: 72.54 states/eV/cell.